# 1
A plane-wave DFT calculation with PBE was carried out for a relaxed Li2FeCu2 crystal.

Calculated values
DFT formation energy: 0.266 eV per atom
Total energy: -38.304 eV for the cell shown
DOS(E_F): 7.5 states/eV per cell
Energy relative to the lowest polymorph listed for this composition: 0.035 eV per atom

a b c (Å): 7.0004 7.0004 2.5833
angles (deg): 90.00 90.00 90.00
Space group P4/mbm (No. 127)
Asymmetric unit:
1 Li 0.1688 0.3312 0.0000
2 Fe 0.0000 0.0000 0.5000
3 Cu 0.1300 0.6300 0.5000


# 2
A plane-wave DFT calculation with PBE was carried out for a relaxed La2Ni2Ge2N crystal.

Calculated values
Energy relative to the elements, uncorrected: -0.770 eV/atom
Total energy: -88.742 eV for the cell shown
DOS(E_F): 9.2 states/eV per cell

a b c (Å): 11.2876 4.0226 7.1197
angles (deg): 90.00 127.97 90.00
Space group C2/m (No. 12)
Asymmetric unit:
1 La 0.0558 0.0000 0.3319
2 Ni 0.1953 0.5000 0.7966
3 Ge 0.1661 0.5000 0.1111
4 N 0.0000 0.5000 0.5000


# 3
A plane-wave DFT calculation with PBE was carried out for a relaxed FeCoGe2 crystal.

Calculated values
DFT formation energy: -0.006 eV per atom
Total energy: -24.828 eV for the cell shown
DOS(E_F): 2.6 states/eV per cell

a b c (Å): 4.1123 4.1123 2.9094
angles (deg): 90.00 90.00 90.00
Space group P4/mmm (No. 123)
Asymmetric unit:
1 Fe 0.0000 0.0000 0.0000
2 Co 0.5000 0.5000 0.0000
3 Ge 0.0000 0.5000 0.5000


# 4
A plane-wave DFT calculation with PBE was carried out for a relaxed LiYPbSe3 crystal.

Calculated values
Energy relative to the elements, uncorrected: -1.251 eV/atom
Total energy: -60.096 eV for the cell shown
DOS(E_F): 0.0 states/eV per cell

a b c (Å): 8.6208 4.1462 8.9961
angles (deg): 90.00 102.78 90.00
Space group P2_1/m (No. 11)
Asymmetric unit:
1 Li 0.0837 0.2500 0.0852
2 Y 0.3312 0.7500 0.3342
3 Pb 0.1858 0.2500 0.7357
4 Se 0.1102 0.2500 0.3712
5 Se 0.2183 0.7500 0.0113
6 Se 0.4348 0.7500 0.6653


# 5
A plane-wave DFT calculation with PBE was carried out for a relaxed Ho5Tm4Pu crystal.

Calculated values
DFT formation energy: 0.059 eV per atom
Total energy: -109.026 eV for the cell shown
DOS(E_F): 35.1 states/eV per cell
Energy relative to the lowest polymorph listed for this composition: 0.000 eV per atom

a b c (Å): 16.5900 3.4669 11.1630
angles (deg): 90.00 108.96 90.00
Space group C2/m (No. 12)
Asymmetric unit:
1 Ho 0.0000 0.0000 0.0000
2 Ho 0.1898 0.5000 0.0779
3 Ho 0.2101 0.5000 0.6169
4 Tm 0.0842 0.5000 0.2960
5 Tm 0.1047 0.0000 0.7946
6 Pu 0.0000 0.0000 0.5000


# 6
A plane-wave DFT calculation with PBE was carried out for a relaxed Sc2TaTc crystal.

Calculated values
DFT formation energy: 0.080 eV per atom
Total energy: -69.121 eV for the cell shown
DOS(E_F): 10.8 states/eV per cell
Energy relative to the lowest polymorph listed for this composition: 0.264 eV per atom

a b c (Å): 3.2488 4.9297 9.3349
angles (deg): 90.00 90.00 90.00
Space group Cmmm (No. 65)
Asymmetric unit:
1 Sc 0.0000 0.0000 0.2248
2 Ta 0.0000 0.5000 0.5000
3 Tc 0.0000 0.5000 0.0000